80
Lattice="-8.704 8.704 8.704 8.704 -8.704 8.704 8.704 8.704 -8.704" Properties=species:S:1:pos:R:3 comment="Ca3Tl5Cl12 (PBE, optimized geometry)" energy_ev_per_atom=-3.4078 formation_energy_uncorrected_ev_per_atom=-1.408 crystal_system=cubic pbc="T T T"
Ca 4.352 2.176 0.000
Ca 8.704 4.352 -2.176
Ca 2.176 0.000 4.352
Ca 10.879 0.000 4.352
Ca 0.000 4.352 2.176
Ca 4.352 -2.176 8.704
Ca 4.352 10.879 0.000
Ca 8.704 4.352 6.528
Ca -2.176 8.704 4.352
Ca 6.528 8.704 4.352
Ca 0.000 4.352 10.879
Ca 4.352 6.528 8.704
Tl 0.000 0.000 0.000
Tl 4.352 4.352 -4.352
Tl 4.352 -4.352 4.352
Tl 8.704 0.000 0.000
Tl 13.055 2.176 0.000
Tl 8.704 -4.352 6.528
Tl 6.528 8.704 -4.352
Tl 6.528 0.000 4.352
Tl 4.352 6.528 0.000
Tl 8.704 4.352 2.176
Tl -4.352 4.352 4.352
Tl 0.000 8.704 0.000
Tl 0.000 0.000 8.704
Tl 4.352 4.352 4.352
Tl 0.000 4.352 6.528
Tl 4.352 2.176 8.704
Tl 2.176 8.704 4.352
Tl 2.176 0.000 13.055
Tl 0.000 13.055 2.176
Tl -4.352 6.528 8.704
Cl 8.368 -1.572 2.571
Cl 13.391 -1.781 2.780
Cl 2.571 -0.335 1.572
Cl 10.484 5.924 -4.687
Cl 11.274 0.335 1.572
Cl 10.484 -2.780 4.687
Cl 1.572 2.571 -0.335
Cl 11.483 4.016 -1.781
Cl 5.924 4.687 -1.781
Cl 7.131 2.571 0.335
Cl -0.335 1.572 2.571
Cl 4.687 -1.781 5.924
Cl 8.368 7.131 -2.571
Cl 4.687 1.781 2.780
Cl 7.131 -2.571 8.368
Cl 5.924 -4.687 10.484
Cl 2.780 4.687 1.781
Cl 10.276 6.133 0.335
Cl 2.571 8.368 -1.572
Cl 10.484 2.780 4.016
Cl 1.781 2.780 4.687
Cl 2.571 0.335 7.131
Cl 4.687 10.484 -2.780
Cl 8.368 1.572 6.133
Cl 0.335 7.131 2.571
Cl 4.016 -1.781 11.483
Cl 6.133 8.368 1.572
Cl 6.923 5.924 4.016
Cl -1.781 5.924 4.687
Cl 6.133 0.335 10.276
Cl -1.572 2.571 8.368
Cl 5.924 4.016 6.923
Cl 2.780 13.391 -1.781
Cl 1.572 11.274 0.335
Cl 4.016 6.923 5.924
Cl 0.335 1.572 11.274
Cl 4.016 10.484 2.780
Cl 9.039 7.131 6.133
Cl 1.572 6.133 8.368
Cl 2.780 4.016 10.484
Cl -2.780 4.687 10.484
Cl 7.131 6.133 9.039
Cl -1.781 11.483 4.016
Cl -2.571 8.368 7.131
Cl -1.781 2.780 13.391
Cl 6.133 9.039 7.131
Cl -4.687 10.484 5.924
Cl 0.335 10.276 6.133

=====

5
Lattice="4.877 0.000 0.000 0.000 4.877 0.000 0.000 0.000 4.877" Properties=species:S:1:pos:R:3 comment="TiGa3Cl (PBE, optimized geometry)" energy_ev_per_atom=-3.1200 formation_energy_uncorrected_ev_per_atom=0.644 crystal_system=cubic pbc="T T T"
Ti 0.000 0.000 0.000
Ga 0.000 2.439 2.439
Ga 2.439 0.000 2.439
Ga 2.439 2.439 0.000
Cl 2.439 2.439 2.439

=====

| no. | density of states at the Fermi level (states/eV/atom) | calculated volume (Å³ per atom) |
| --- | --- | --- |
| 1 | 0.276 | 32.97 |
| 2 | 0.775 | 23.21 |